No. 1
## AcDy2Pd9 (GGA-PBE)

Data for AcDy2Pd9 after structural relaxation.

Summary:
Its space group is P4/mmm (123). Its energy relative to the elements is -0.8175 eV per atom. Its density is 11.37 g/cm3. Its density of states at the Fermi level is 8.31 states/eV per cell.

Cell and atoms, written as POSCAR:
```
AcDy2Pd9
1.0
-0.2160 -4.0351 -1.1729
4.0607 -0.5025 0.9810
-3.1987 -3.2008 11.6010
Ac Dy Pd
1 2 9
Direct
0.0000 0.0000 0.0000 Ac
0.0000 0.0000 0.3395 Dy
0.0000 0.0000 0.6605 Dy
0.5000 0.5000 0.0000 Pd
0.5000 0.5000 0.3384 Pd
0.5000 0.5000 0.6616 Pd
0.5000 0.0000 0.1775 Pd
0.5000 0.0000 0.5000 Pd
0.5000 0.0000 0.8225 Pd
0.0000 0.5000 0.1775 Pd
0.0000 0.5000 0.5000 Pd
0.0000 0.5000 0.8225 Pd
```



No. 2
## CaTeAs2 (GGA-PBE)

Data for CaTeAs2 after structural relaxation.

Summary:
Its space group is I-4m2 (119). Its density is 5.49 g/cm3. Its uncorrected formation energy is -0.311 eV/atom. Its density of states at the Fermi level is 2.90 states/eV per cell.

Cell and atoms, written as POSCAR:
```
CaTeAs2
1.0
6.0900 -0.0202 0.0000
3.1302 5.2241 0.0000
-4.6101 -2.6019 3.0109
As Te Ca
2 1 1
Direct
0.0000 0.0000 0.0000 As
0.2500 0.7500 0.5000 As
0.7500 0.2500 0.5000 Te
0.5000 0.5000 0.0000 Ca
```



No. 3
## Y2CrPbC (GGA-PBE)

Data for Y2CrPbC after structural relaxation.

Summary:
Its space group is P4/mmm (123). Its energy relative to the elements is -0.2827 eV per atom. Its density is 7.23 g/cm3. Its density of states at the Fermi level is 3.47 states/eV per cell.

Cell and atoms, written as POSCAR:
```
Y2CrPbC
1.0
-4.9229 1.0201 0.0161
-0.3027 -1.5359 4.7776
0.7908 3.7963 1.2706
Pb Y C Cr
1 2 1 1
Direct
0.5000 0.5000 0.5000 Pb
0.0000 0.5000 0.0000 Y
0.5000 0.0000 0.0000 Y
0.0000 0.0000 0.0000 C
0.0000 0.0000 0.5000 Cr
```